# 1
ZnHg GGA-PBE optimized geometry; VASP energy = -0.651 eV per atom; volume = 491 Å³ per cell; SG = Pbcm (57)
1.0
-13.358 -4.840 1.342
0.391 -2.677 -5.759
1.875 -4.553 2.244
Hg Zn
12 12
Direct
0.994 0.003 0.000 Hg
0.518 0.262 0.000 Hg
0.018 0.488 0.000 Hg
0.494 0.747 0.000 Hg
0.184 0.772 0.000 Hg
0.684 0.978 0.000 Hg
0.451 0.002 0.500 Hg
0.926 0.262 0.500 Hg
0.426 0.488 0.500 Hg
0.950 0.748 0.500 Hg
0.260 0.772 0.500 Hg
0.760 0.978 0.500 Hg
0.343 0.044 0.000 Zn
0.178 0.239 0.000 Zn
0.833 0.281 0.000 Zn
0.333 0.469 0.000 Zn
0.678 0.511 0.000 Zn
0.843 0.706 0.000 Zn
0.101 0.044 0.500 Zn
0.267 0.239 0.500 Zn
0.612 0.281 0.500 Zn
0.112 0.468 0.500 Zn
0.767 0.511 0.500 Zn
0.601 0.706 0.500 Zn


# 2
ZnHg GGA-PBE optimized geometry; VASP energy = -0.646 eV per atom; volume = 159 Å³ per cell; SG = Pbcm (57)
1.0
4.967 0.000 0.000
0.000 6.139 0.000
0.000 0.000 5.211
Hg Zn
4 4
Direct
0.979 0.472 0.000 Hg
0.479 0.778 0.000 Hg
0.354 0.472 0.500 Hg
0.854 0.778 0.500 Hg
0.994 0.013 0.000 Zn
0.494 0.237 0.000 Zn
0.340 0.013 0.500 Zn
0.840 0.237 0.500 Zn


# 3
ZnHg GGA-PBE optimized geometry; VASP energy = -0.658 eV per atom; volume = 200 Å³ per cell; SG = Pm (6)
1.0
2.477 4.315 0.000
-5.940 6.323 0.000
0.000 0.000 4.840
Hg Zn
5 5
Direct
0.453 0.192 0.000 Hg
0.844 0.408 0.000 Hg
0.560 0.799 0.000 Hg
0.084 0.159 0.500 Hg
0.443 0.442 0.500 Hg
0.158 0.626 0.000 Zn
0.984 0.971 0.000 Zn
0.860 0.634 0.500 Zn
0.254 0.801 0.500 Zn
0.693 0.968 0.500 Zn


# 4
ZnHg GGA-PBE optimized geometry; VASP energy = -0.660 eV per atom; volume = 323 Å³ per cell; SG = Pmmn (59)
1.0
-8.861 4.181 -0.321
-2.445 -4.965 2.813
0.887 2.241 4.726
Hg Zn
8 8
Direct
0.754 0.250 0.000 Hg
0.049 0.500 0.000 Hg
0.481 0.500 0.000 Hg
0.754 0.750 0.000 Hg
0.186 0.000 0.500 Hg
0.617 0.000 0.500 Hg
0.912 0.250 0.500 Hg
0.912 0.750 0.500 Hg
0.012 0.000 0.000 Zn
0.498 0.000 0.000 Zn
0.263 0.210 0.000 Zn
0.263 0.790 0.000 Zn
0.404 0.290 0.500 Zn
0.169 0.500 0.500 Zn
0.655 0.500 0.500 Zn
0.404 0.710 0.500 Zn


# 5
ZnHg GGA-PBE optimized geometry; VASP energy = -0.667 eV per atom; volume = 240 Å³ per cell; SG = Pmc2_1 (26)
1.0
5.350 0.000 0.000
0.000 9.852 0.000
0.000 0.000 4.557
Hg Zn
6 6
Direct
0.537 0.219 0.000 Hg
0.037 0.948 0.000 Hg
0.446 0.010 0.500 Hg
0.946 0.157 0.500 Hg
0.770 0.479 0.500 Hg
0.270 0.688 0.500 Hg
0.026 0.354 0.000 Zn
0.426 0.527 0.000 Zn
0.926 0.640 0.000 Zn
0.526 0.813 0.000 Zn
0.294 0.368 0.500 Zn
0.794 0.799 0.500 Zn


# 6
Zn3Hg GGA-PBE optimized geometry; VASP energy = -0.928 eV per atom; volume = 139 Å³ per cell; SG = P2_1/m (11)
1.0
4.685 -2.722 0.000
0.287 5.942 0.000
0.000 0.000 4.846
Hg Zn
2 6
Direct
0.035 0.568 0.000 Hg
0.799 0.099 0.500 Hg
0.027 0.045 0.000 Zn
0.518 0.047 0.000 Zn
0.505 0.511 0.000 Zn
0.328 0.156 0.500 Zn
0.315 0.620 0.500 Zn
0.806 0.622 0.500 Zn


# 7
ZnHg GGA-PBE optimized geometry; VASP energy = -0.659 eV per atom; volume = 328 Å³ per cell; SG = Pmmn (59)
1.0
-0.732 1.903 4.289
-12.303 3.065 -3.460
-1.663 -4.661 1.784
Hg Zn
8 8
Direct
0.031 0.028 0.000 Hg
0.031 0.472 0.000 Hg
0.572 0.627 0.000 Hg
0.572 0.873 0.000 Hg
0.762 0.127 0.500 Hg
0.762 0.373 0.500 Hg
0.303 0.528 0.500 Hg
0.303 0.972 0.500 Hg
0.512 0.150 0.000 Zn
0.015 0.250 0.000 Zn
0.512 0.350 0.000 Zn
0.073 0.750 0.000 Zn
0.261 0.250 0.500 Zn
0.821 0.650 0.500 Zn
0.318 0.750 0.500 Zn
0.821 0.850 0.500 Zn


# 8
ZnHg GGA-PBE optimized geometry; VASP energy = -0.673 eV per atom; volume = 161 Å³ per cell; SG = Pmmn (59)
1.0
-4.978 -9.937 -2.388
-0.079 -0.682 3.004
-4.134 1.988 0.343
Hg Zn
4 4
Direct
0.524 0.000 0.000 Hg
0.210 0.500 0.000 Hg
0.707 0.000 0.500 Hg
0.393 0.500 0.500 Hg
0.973 0.000 0.000 Zn
0.778 0.500 0.000 Zn
0.138 0.000 0.500 Zn
0.944 0.500 0.500 Zn